# SmThSb, relaxed, DFT PBE
data_SmThSb
_chemical_formula_sum 'Sm2 Th2 Sb2'
_space_group_name_H-M_alt 'P 4/n m m'
_space_group_IT_number 129
_cell_length_a 4.525
_cell_length_b 4.525
_cell_length_c 8.975
_cell_angle_alpha 90.00
_cell_angle_beta 90.00
_cell_angle_gamma 90.00
loop_
_space_group_symop_operation_xyz
'x,y,z'
'-x,-y,-z'
'-y+1/2,x,z'
'y+1/2,-x,-z'
'-x+1/2,-y+1/2,z'
'x+1/2,y+1/2,-z'
'y,-x+1/2,z'
'-y,x+1/2,-z'
'x+1/2,-y,-z'
'-x+1/2,y,z'
'-y,-x,-z'
'y,x,z'
'-x,y+1/2,-z'
'x,-y+1/2,z'
'y+1/2,x+1/2,-z'
'-y+1/2,-x+1/2,z'
loop_
_atom_site_label
_atom_site_fract_x
_atom_site_fract_y
_atom_site_fract_z
_atom_site_occupancy
Sm1 0.250 0.250 0.139 1
Th1 0.250 0.750 0.500 1
Sb1 0.250 0.250 0.782 1
# Final energy ... -36.738 eV/cell
# Formation energy from raw total energies ... -67.79 kJ per mole of atoms
# Magnetic moment ... 0.000 μB per atom